Entry A
Crystalline K2AlBiPd at its relaxed geometry. Source: Alexandria via LeMat-Bulk, functional PBE.

Structure (POSCAR):
```
K2AlBiPd
1.0
6.5226 0.0000 0.0000
0.0000 6.5226 0.0000
0.0000 0.0000 5.2670
K Al Bi Pd
2 1 1 1
Cartesian
0.0000 3.2613 0.0000
3.2613 0.0000 0.0000
0.0000 0.0000 0.0000
0.0000 0.0000 2.6335
3.2613 3.2613 2.6335
```

mass density = 3.117 g cm⁻³
total magnetization = 0.0000 μB per atom
density of states at the Fermi level = 1.01 states/eV/atom

***

Entry B
Crystalline K2AlBiPd at its relaxed geometry. Source: Alexandria via LeMat-Bulk, functional PBE.

Structure (POSCAR):
```
K2AlBiPd
1.0
6.1586 0.0000 0.0000
0.0000 6.1586 0.0000
0.0000 0.0000 4.7383
K Al Bi Pd
2 1 1 1
Cartesian
0.0000 3.0793 0.0000
3.0793 0.0000 0.0000
0.0000 0.0000 2.3691
3.0793 3.0793 2.3691
0.0000 0.0000 0.0000
```

mass density = 3.886 g cm⁻³
total magnetization = 0.0890 μB per atom
density of states at the Fermi level = 0.76 states/eV/atom

***

What should be chosen as the least stable of them? Choose entry A.

***

Entry A
Crystalline LaAl3Bi at its relaxed geometry. Source: Alexandria via LeMat-Bulk, functional PBE.

Structure (POSCAR):
```
LaAl3Bi
1.0
5.4164 0.0000 0.0000
0.0000 5.4164 0.0000
0.0000 0.0000 5.4164
La Al Bi
1 3 1
Cartesian
0.0000 0.0000 0.0000
0.0000 2.7082 2.7082
2.7082 0.0000 2.7082
2.7082 2.7082 0.0000
2.7082 2.7082 2.7082
```

mass density = 4.481 g cm⁻³
total magnetization = 0.0000 μB per atom
density of states at the Fermi level = 0.71 states/eV/atom

***

Entry B
Crystalline LaAl3Bi at its relaxed geometry. Source: Alexandria via LeMat-Bulk, functional PBE.

Structure (POSCAR):
```
LaAl3Bi
1.0
5.6618 0.0000 0.0000
0.0000 5.6618 0.0000
0.0000 0.0000 5.6618
La Al Bi
1 3 1
Cartesian
0.0000 0.0000 0.0000
0.0000 0.0000 2.8309
0.0000 2.8309 0.0000
2.8309 0.0000 0.0000
2.8309 2.8309 2.8309
```

mass density = 3.923 g cm⁻³
total magnetization = 0.0000 μB per atom
density of states at the Fermi level = 0.88 states/eV/atom

***

What should be chosen as the least stable of them? Choose entry B.